A plane-wave DFT calculation with GGA-PBE was carried out for a relaxed Rb3Li2NpCl9 crystal.

Cell: 7.404 7.404 9.400 Å, 90.00 90.00 120.00°
Sites, in units of the cell vectors:
Cl1 0.835 0.670 0.662
Cl2 0.165 0.835 0.338
Cl3 0.330 0.165 0.662
Cl4 0.500 0.000 0.000
Cl5 0.165 0.330 0.338
Cl6 0.500 0.500 0.000
Cl7 0.835 0.165 0.662
Cl8 0.670 0.835 0.338
Cl9 0.000 0.500 0.000
Li1 0.667 0.333 0.894
Li2 0.333 0.667 0.106
Rb1 0.667 0.333 0.284
Rb2 0.333 0.667 0.716
Rb3 0.000 0.000 0.000
Np1 0.000 0.000 0.500

Output
**Formation energy from raw total energies**: -1832.0 meV/atom
**DFT total energy**: -4.251 eV/atom
**N(E_F)**: 6.1 states/eV per cell
**Crystal system**: trigonal